No. 1
Material: Y2Te3
Method: DFT, PBE
State: relaxed

Values from the calculation:
Electronic total energy   -4.0924 eV per atom
Crystal system   tetragonal
ρ   668 kg/m³

Unit cell a=9.3699 b=9.3699 c=15.8743 alpha=90.00 beta=90.00 gamma=90.00
Space group P4/mmm (No. 123)
One atom of each set of equivalent atoms:
Y: 0.0000 0.0000 0.1846 x2
Te: 0.0000 0.0000 0.0000 x1
Te: 0.0000 0.0000 0.3534 x2


No. 2
Material: YTe3
Method: DFT, PBE
State: relaxed

Values from the calculation:
Electronic total energy   -4.4698 eV per atom
Crystal system   hexagonal
ρ   5874 kg/m³

Unit cell a=4.3815 b=4.3815 c=8.0207 alpha=90.00 beta=90.00 gamma=120.00
Space group P-6m2 (No. 187)
One atom of each set of equivalent atoms:
Y: 0.0000 0.0000 0.0000 x1
Te: 0.0000 0.0000 0.5000 x1
Te: 0.3333 0.6667 0.2181 x2